Density functional theory data (GGA-PBE) for a relaxed Pm2CoCuH6 crystal.

The structure in POSCAR format:
```
Pm2CoCuH6
1.0
-0.3622 -3.7727 3.4628
2.7216 -3.0576 -3.0983
4.2554 -2.2783 1.7518
H Cu Co Pm
6 1 1 2
Cartesian
0.4679 -3.5802 1.6966
4.0145 -6.2173 1.2092
1.8915 -3.2501 -1.3321
1.7281 -4.9990 0.2674
2.6004 -2.8912 0.9071
4.8868 -4.1096 1.8489
0.0000 0.0000 0.0000
1.1797 -3.4151 0.1823
2.5361 -4.7331 2.6992
4.0787 -4.3754 -0.5828
```

ρ	7.25	Mg/m³
symmetry	C2/m (12)
total magnetization	0.00	μB/cell
electronic total energy	-4.458	eV per atom

Density functional theory data (GGA-PBE) for a relaxed PrCoCuH6 crystal.

The structure in POSCAR format:
```
PrCoCuH6
1.0
-2.1091 0.3027 -3.9436
-3.8711 -2.1662 -0.6434
-2.1635 3.4442 1.4214
H Cu Pr Co
6 1 1 1
Cartesian
-4.5293 1.6552 -1.1813
-2.4915 -0.1698 -0.0445
-1.6747 0.9762 -1.5778
-3.4720 -0.0302 -1.8750
-2.7318 2.6604 -0.8810
-3.5512 1.5137 0.6504
-5.0685 0.4797 -2.3472
-4.2725 3.7469 -2.5221
-3.0751 1.1009 -0.8183
```

ρ	5.97	Mg/m³
symmetry	P-6m2 (187)
total magnetization	0.00	μB/cell
electronic total energy	-4.328	eV per atom

Density functional theory data (GGA-PBE) for a relaxed CoCu2HPt crystal.

The structure in POSCAR format:
```
CoCu2HPt
1.0
3.8450 0.0000 0.0000
0.0000 3.8450 0.0000
0.0000 0.0000 3.5799
H Pt Co Cu
1 1 1 2
Cartesian
0.0000 0.0000 0.0000
1.9225 1.9225 1.7899
0.0000 0.0000 1.7899
0.0000 1.9225 0.0000
1.9225 0.0000 0.0000
```

ρ	11.99	Mg/m³
symmetry	P4/mmm (123)
total magnetization	1.39	μB/cell
electronic total energy	-4.865	eV per atom

Density functional theory data (GGA-PBE) for a relaxed Pu2CoCuH6 crystal.

The structure in POSCAR format:
```
Pu2CoCuH6
1.0
-2.8748 -3.9041 1.5455
3.4485 -3.2632 -1.8338
1.9788 -3.5773 3.0293
Pu H Cu Co
2 6 1 1
Cartesian
-0.3040 -5.5328 2.2148
2.8566 -5.2118 0.5261
0.4212 -5.2526 -0.2083
-1.1841 -3.7323 0.6422
3.7367 -7.0123 2.0988
1.4759 -7.1608 1.4071
2.1313 -5.4920 2.9492
1.0767 -3.5838 1.3338
0.0000 0.0000 0.0000
0.2869 -3.5837 -0.1442
```

ρ	10.99	Mg/m³
symmetry	Fm-3m (225)
total magnetization	12.20	μB/cell
electronic total energy	-6.255	eV per atom

Density functional theory data (GGA-PBE) for a relaxed RbCoCuH6 crystal.

The structure in POSCAR format:
```
RbCoCuH6
1.0
4.6635 0.2147 -0.0008
2.5076 3.9416 0.0005
-0.0004 0.0011 5.6759
Rb H Co Cu
1 6 1 1
Cartesian
7.1402 4.1412 5.6755
3.5234 2.0550 3.8909
2.2455 0.2763 1.8724
2.2783 0.2704 3.8047
1.3691 1.8437 1.8727
3.5319 2.0400 1.7847
1.3568 1.8097 3.8011
2.5074 1.4516 2.8378
4.7289 2.7426 2.8377
```

ρ	3.51	Mg/m³
symmetry	C2 (5)
total magnetization	0.00	μB/cell
electronic total energy	-3.609	eV per atom

Density functional theory data (GGA-PBE) for a relaxed CoCu2H6Rh crystal.

The structure in POSCAR format:
```
CoCu2H6Rh
1.0
-2.2592 -3.7868 -0.0688
4.3432 -0.0129 -0.8307
0.8264 2.0346 4.3754
Co H Rh Cu
1 6 1 2
Cartesian
2.8855 -1.7891 3.3871
3.2095 -0.5330 2.3573
-0.3239 -1.3159 0.9069
1.5215 -2.9778 0.3389
1.3434 1.1450 2.9771
1.4518 -1.8129 2.5538
1.4208 0.0383 0.7274
0.3122 -2.8069 1.6323
2.2496 -1.3874 0.0675
0.6246 -0.4323 3.2914
```

ρ	6.97	Mg/m³
symmetry	P1 (1)
total magnetization	0.00	μB/cell
electronic total energy	-4.178	eV per atom

Density functional theory data (GGA-PBE) for a relaxed CoCuHRh2 crystal.

The structure in POSCAR format:
```
CoCuHRh2
1.0
-3.5869 -1.3620 -2.4433
2.5020 -2.8217 -2.1002
-0.9345 -3.1613 3.1342
Cu Co H Rh
1 1 1 2
Cartesian
0.0000 0.0000 0.0000
1.2510 -1.4109 -1.0501
-1.0096 -3.6725 -0.7046
-1.7934 -0.6810 -1.2216
-0.4672 -1.5807 1.5671
```

ρ	6.12	Mg/m³
symmetry	P4/mmm (123)
E above lowest polymorph	39.03	kcal/mol of atoms
total magnetization	4.28	μB/cell

Density functional theory data (GGA-PBE) for a relaxed CoCuHRh2 crystal.

The structure in POSCAR format:
```
CoCuHRh2
1.0
3.8805 0.0000 0.0000
0.0000 3.8805 0.0000
0.0000 0.0000 3.6676
Cu Rh H Co
1 2 1 1
Cartesian
1.9402 1.9402 1.8338
0.0000 1.9402 0.0000
1.9402 0.0000 0.0000
0.0000 0.0000 0.0000
0.0000 0.0000 1.8338
```

ρ	9.90	Mg/m³
symmetry	P4/mmm (123)
E above lowest polymorph	0.00	kcal/mol of atoms
total magnetization	3.16	μB/cell

Density functional theory data (GGA-PBE) for a relaxed CoCu2HRh crystal.

The structure in POSCAR format:
```
CoCu2HRh
1.0
3.7450 0.0000 0.0000
0.0000 3.7450 0.0000
0.0000 0.0000 3.7750
Rh Co Cu H
1 1 2 1
Cartesian
0.0000 0.0000 1.8875
1.8725 1.8725 1.8875
1.8725 0.0000 0.0000
0.0000 1.8725 0.0000
0.0000 0.0000 0.0000
```

ρ	9.09	Mg/m³
symmetry	P4/mmm (123)
E above lowest polymorph	0.00	kcal/mol of atoms
total magnetization	2.56	μB/cell

Density functional theory data (GGA-PBE) for a relaxed CoCuHRh2 crystal.

The structure in POSCAR format:
```
CoCuHRh2
1.0
3.8967 0.0000 0.0000
0.0000 3.8967 0.0000
0.0000 0.0000 3.6594
H Rh Cu Co
1 2 1 1
Cartesian
0.0000 0.0000 0.0000
1.9483 0.0000 0.0000
0.0000 1.9483 0.0000
0.0000 0.0000 1.8297
1.9483 1.9483 1.8297
```

ρ	9.84	Mg/m³
symmetry	P4/mmm (123)
E above lowest polymorph	0.49	kcal/mol of atoms
total magnetization	3.29	μB/cell

Density functional theory data (GGA-PBE) for a relaxed CoCu2HRh crystal.

The structure in POSCAR format:
```
CoCu2HRh
1.0
-0.8983 -2.1869 -2.9531
-2.4812 -1.8814 2.1481
-2.5937 2.3415 -0.9450
Co Rh Cu H
1 1 2 1
Cartesian
-1.2969 1.1708 -0.4725
-2.9866 -0.8634 -0.8750
-0.4492 -1.0935 -1.4765
-1.2406 -0.9407 1.0741
0.0000 0.0000 0.0000
```

ρ	9.29	Mg/m³
symmetry	P4/mmm (123)
E above lowest polymorph	0.99	kcal/mol of atoms
total magnetization	2.15	μB/cell

Density functional theory data (GGA-PBE) for a relaxed Co2CuHS crystal.

The structure in POSCAR format:
```
Co2CuHS
1.0
4.5081 0.0000 0.0000
0.0000 2.9982 0.0000
0.0000 0.0000 4.5081
S Co Cu H
1 2 1 1
Cartesian
2.2540 1.4991 2.2540
0.0000 0.0000 2.2540
2.2540 0.0000 0.0000
0.0000 0.0000 0.0000
0.0000 1.4991 0.0000
```

ρ	5.85	Mg/m³
symmetry	P4/mmm (123)
total magnetization	3.38	μB/cell
electronic total energy	-4.347	eV per atom

> The highest total magnetization belongs to which entry?

Pu2CoCuH6

Please write out number 3 again, unchanged.
Density functional theory data (GGA-PBE) for a relaxed CoCu2HPt crystal.

The structure in POSCAR format:
```
CoCu2HPt
1.0
3.8450 0.0000 0.0000
0.0000 3.8450 0.0000
0.0000 0.0000 3.5799
H Pt Co Cu
1 1 1 2
Cartesian
0.0000 0.0000 0.0000
1.9225 1.9225 1.7899
0.0000 0.0000 1.7899
0.0000 1.9225 0.0000
1.9225 0.0000 0.0000
```

ρ	11.99	Mg/m³
symmetry	P4/mmm (123)
total magnetization	1.39	μB/cell
electronic total energy	-4.865	eV per atom

> The highest ρ belongs to which entry?

CoCu2HPt